! Dy8YMg2, optimized geometry, DFT GGA-PBE; values from VASP
&SYSTEM
  ibrav = 0, nat = 11, ntyp = 3
/
ATOMIC_SPECIES
Dy 162.50 Dy.upf
Y 88.91 Y.upf
Mg 24.30 Mg.upf
CELL_PARAMETERS angstrom
4.370 -7.735 0.000
4.370 7.735 0.000
-2.494 0.000 5.068
ATOMIC_POSITIONS crystal
Dy 0.097 0.321 0.632
Dy 0.212 0.788 0.000
Dy 0.321 0.097 0.632
Dy 0.408 0.408 0.203
Dy 0.592 0.592 0.797
Dy 0.679 0.903 0.368
Dy 0.788 0.212 0.000
Dy 0.903 0.679 0.368
Y 0.000 0.000 0.000
Mg 0.307 0.693 0.500
Mg 0.693 0.307 0.500
! DFT formation energy in eV/atom: 0.14
! SG: No. 12
! M_tot in μB/f.u.: 0.00